Entry 1:
TbZr3C2Se2 | GGA-PBE | optimized geometry

Unit cell a=3.5350 b=3.5350 c=12.9155 alpha=90.00 beta=90.00 gamma=120.00
Fractional coordinates of all 8 atoms:
1 C 0.6667 0.3333 0.5029
2 C 0.6667 0.3333 0.9866
3 Se 0.3333 0.6667 0.2630
4 Se 0.0000 0.0000 0.7461
5 Tb 0.0000 0.0000 0.0987
6 Zr 0.0000 0.0000 0.4094
7 Zr 0.3333 0.6667 0.5959
8 Zr 0.3333 0.6667 0.8975

- space-group type = P3m1
- E_tot (eV per atom) = -8.124

Entry 2:
TcCSe2 | GGA-PBE | optimized geometry

Unit cell a=3.4062 b=3.4062 c=12.8213 alpha=90.02 beta=90.02 gamma=68.68
Fractional coordinates of all 8 atoms:
1 C 0.7565 0.7565 0.2500
2 C 0.2435 0.2435 0.7500
3 Se 0.6352 0.6352 0.1174
4 Se 0.6353 0.6353 0.3825
5 Se 0.3647 0.3647 0.6175
6 Se 0.3648 0.3648 0.8826
7 Tc 0.0000 0.0000 0.0000
8 Tc 0.0000 0.0000 0.5000

- space-group type = Cmcm
- E_tot (eV per atom) = -5.613